1.
{
  "formula": "Nd2ICl",
  "functional": "PBE",
  "state": "relaxed",
  "lattice_angstrom": [[1.879, 1.085, 9.359], [-1.879, 1.085, 9.359], [0.000, -2.170, 9.359]],
  "species": ["Nd", "Nd", "I", "Cl"],
  "frac_coords": [[0.000, 0.000, 0.000], [0.154, 0.154, 0.154], [0.577, 0.577, 0.577], [0.410, 0.410, 0.410]],
  "e_form_raw_mev_per_atom": -1084,
  "sg": "R3m, No. 160"
}


2.
{
  "formula": "Pm3TmFe",
  "functional": "PBE",
  "state": "relaxed",
  "lattice_angstrom": [[5.351, 0.000, 0.000], [0.000, 5.351, 0.000], [0.000, 0.000, 5.351]],
  "species": ["Pm", "Pm", "Pm", "Tm", "Fe"],
  "frac_coords": [[0.000, 0.000, 0.500], [0.000, 0.500, 0.000], [0.500, 0.000, 0.000], [0.500, 0.500, 0.500], [0.000, 0.000, 0.000]],
  "delta_e_f_ev_per_fu": 1.0,
  "sg": "Pm-3m, No. 221"
}